Record 1
This record from the Alexandria database describes CuNiS2 after structural relaxation. The functional is PBE.

Calculated values
* magnetic moment: 0.000 μB per cell

Lattice parameters (Å, degrees): 6.4690 6.4690 5.3659 52.93 52.93 90.00
Element x y z (fractional)
Cu (0.7500, 0.7500, 0.5000)
Cu (0.2500, 0.2500, 0.5000)
S (0.6840, 0.8160, 0.0000)
S (0.1840, 0.6840, 0.0000)
S (0.8160, 0.3160, 0.0000)
S (0.3160, 0.1840, 0.0000)
Ni (0.2500, 0.7500, 0.5000)
Ni (0.7500, 0.2500, 0.5000)



Record 2
This record from the Alexandria database describes CuNi6S8 after structural relaxation. The functional is PBE.

Calculated values
* magnetic moment: 0.000 μB per cell

Lattice parameters (Å, degrees): 6.2068 6.2068 6.2068 94.57 94.57 94.57
Element x y z (fractional)
S (0.7782, 0.7782, 0.7782)
S (0.1569, 0.7116, 0.3735)
S (0.8431, 0.2884, 0.6265)
S (0.6265, 0.8431, 0.2884)
S (0.2884, 0.6265, 0.8431)
S (0.3735, 0.1569, 0.7116)
S (0.2218, 0.2218, 0.2218)
S (0.7116, 0.3735, 0.1569)
Ni (0.4545, 0.8148, 0.6012)
Ni (0.1852, 0.3988, 0.5455)
Ni (0.3988, 0.5455, 0.1852)
Ni (0.5455, 0.1852, 0.3988)
Ni (0.8148, 0.6012, 0.4545)
Ni (0.6012, 0.4545, 0.8148)
Cu (0.0000, 0.0000, 0.0000)



For each record above, in turn, the calculated ΔE_f (raw) values are 138; -259 meV/atom.
For each record above, in turn, the calculated electronic total energy values are -35.16; -75.69 eV for the cell shown.